(1)
This record from the Alexandria database describes a geometry-optimized ThMg2Pb4 structure. The functional is PBE.

POSCAR file:
```
ThMg2Pb4
1.0
4.077 -5.263 0.000
4.077 5.263 0.000
0.000 0.000 4.843
Th Mg Pb
1 2 4
Direct
0.000 0.000 0.000
0.236 0.764 0.500
0.764 0.236 0.500
0.000 0.500 0.000
0.294 0.294 0.500
0.500 0.000 0.000
0.706 0.706 0.500
```

Calculated values
Space group: Cmmm (65)
Total magnetization, μB/atom: 0.00
D(E_F), states/eV per cell: 4.50
Calculated total energy, eV/atom: -3.7078



(2)
This record from the Alexandria database describes a geometry-optimized LaTb2Ir structure. The functional is PBE.

POSCAR file:
```
LaTb2Ir
1.0
7.315 0.000 0.000
0.000 9.564 0.000
0.000 0.000 6.541
La Tb Ir
4 8 4
Direct
0.041 0.250 0.137
0.459 0.750 0.637
0.541 0.250 0.363
0.959 0.750 0.863
0.173 0.066 0.669
0.173 0.434 0.669
0.327 0.566 0.169
0.327 0.934 0.169
0.673 0.066 0.831
0.673 0.434 0.831
0.827 0.566 0.331
0.827 0.934 0.331
0.121 0.750 0.436
0.379 0.250 0.936
0.621 0.750 0.064
0.879 0.250 0.564
```

Calculated values
Space group: Pnma (62)
Relative energy among the computed polymorphs, meV per atom: 0
Total magnetization, μB/atom: 0.00
D(E_F), states/eV per cell: 18.07